<A>
LaZnCd4 (GGA-PBE, relaxed); symmetry = Pmma (51); M_tot = 0.00 μB per formula unit
1.0
4.574 0.000 0.000
0.000 7.852 0.000
0.000 0.000 7.917
Cd La Zn
8 2 2
Direct
0.000 0.000 0.000
0.500 0.933 0.750
0.500 0.684 0.441
0.500 0.316 0.559
0.500 0.067 0.250
0.500 0.316 0.941
0.000 0.000 0.500
0.500 0.684 0.059
0.000 0.376 0.250
0.000 0.624 0.750
0.000 0.233 0.750
0.000 0.767 0.250

***

<B>
LaZnCd4 (GGA-PBE, relaxed); symmetry = Cmcm (63); M_tot = 0.00 μB per formula unit
1.0
-4.532 0.162 0.302
-0.376 -7.101 -1.829
2.738 -2.231 8.097
Cd La Zn
8 2 2
Direct
0.677 0.554 0.355
0.323 0.054 0.645
0.500 0.000 0.000
0.323 0.446 0.645
0.930 0.250 0.860
0.500 0.500 0.000
0.677 0.946 0.355
0.070 0.750 0.140
0.873 0.750 0.746
0.127 0.250 0.254
0.767 0.250 0.533
0.233 0.750 0.467

***

<C>
LaZnCd4 (GGA-PBE, relaxed); symmetry = F-43m (216); M_tot = 0.00 μB per formula unit
1.0
1.692 -0.442 5.686
-3.028 -3.496 3.741
2.443 -5.044 1.993
La Cd Zn
1 4 1
Direct
0.750 0.750 0.750
0.375 0.375 0.375
0.375 0.876 0.375
0.876 0.375 0.375
0.375 0.375 0.876
0.000 0.000 0.000

***

Of them, <C> has the lowest stability.

***

<A>
La2ZnCd2 (GGA-PBE, relaxed); symmetry = I4/mmm (139); M_tot = 0.00 μB per formula unit
1.0
-0.138 1.347 3.794
-3.966 -0.701 0.105
-0.488 -8.071 4.987
Cd La Zn
2 2 1
Direct
0.250 0.750 0.500
0.750 0.250 0.500
0.591 0.591 0.818
0.409 0.409 0.182
0.000 0.000 0.000

***

<B>
La2ZnCd2 (GGA-PBE, relaxed); symmetry = P4/mbm (127); M_tot = 0.00 μB per formula unit
1.0
-1.250 -0.423 -7.245
-4.633 -5.612 1.127
-3.856 3.279 0.474
Cd La Zn
4 4 2
Direct
0.143 0.357 0.000
0.857 0.643 0.000
0.357 0.857 0.000
0.643 0.143 0.000
0.660 0.840 0.500
0.840 0.340 0.500
0.160 0.660 0.500
0.340 0.160 0.500
0.500 0.500 0.000
0.000 0.000 0.000

***

<C>
La2ZnCd2 (GGA-PBE, relaxed); symmetry = I4/mmm (139); M_tot = 0.00 μB per formula unit
1.0
-2.793 2.210 3.130
2.257 -2.181 3.554
4.387 5.401 3.691
Zn La Cd
1 2 2
Direct
0.000 0.000 0.000
0.750 0.250 0.500
0.250 0.750 0.500
0.407 0.407 0.186
0.593 0.593 0.814

***

<D>
La2ZnCd2 (GGA-PBE, relaxed); symmetry = P-1 (2); M_tot = 0.00 μB per formula unit
1.0
6.649 -0.089 2.006
2.115 6.960 4.697
0.550 6.533 9.897
Zn La Cd
2 4 4
Direct
0.732 0.256 0.749
0.268 0.744 0.251
0.497 0.824 0.913
0.503 0.176 0.087
0.230 0.653 0.593
0.770 0.347 0.407
0.936 0.313 0.035
0.064 0.687 0.965
0.287 0.176 0.467
0.713 0.824 0.533

***

Of them, <C> has the lowest stability.

***

<A>
La3ZnCd (GGA-PBE, relaxed); symmetry = Cmcm (63); M_tot = 0.15 μB per formula unit
1.0
5.364 0.000 1.226
0.000 5.497 0.000
0.450 0.000 10.378
La Zn Cd
6 2 2
Direct
0.888 0.750 0.872
0.574 0.250 0.500
0.760 0.250 0.128
0.388 0.250 0.873
0.074 0.750 0.500
0.260 0.750 0.127
0.672 0.750 0.305
0.977 0.250 0.695
0.478 0.750 0.692
0.170 0.250 0.308

***

<B>
La3ZnCd (GGA-PBE, relaxed); symmetry = Pm-3m (221); M_tot = 2.62 μB per formula unit
1.0
-0.073 -5.146 2.483
4.849 1.259 2.750
-3.024 2.142 4.350
La Cd Zn
3 1 1
Direct
0.000 0.500 0.000
0.500 0.000 0.000
0.000 0.000 0.500
0.500 0.500 0.500
0.000 0.000 0.000

***

Of them, <B> has the lowest stability.

***

<A>
LaZnCd3 (GGA-PBE, relaxed); symmetry = Pm-3m (221); M_tot = 1.14 μB per formula unit
1.0
-5.684 2.833 0.014
-2.763 -5.549 1.383
0.629 1.232 6.199
Cd La Zn
3 1 1
Direct
0.000 0.000 0.500
0.000 0.500 0.000
0.500 0.000 0.000
0.000 0.000 0.000
0.500 0.500 0.500

***

<B>
LaZnCd3 (GGA-PBE, relaxed); symmetry = Pm-3m (221); M_tot = 0.00 μB per formula unit
1.0
-1.266 1.641 4.625
3.774 -2.728 2.001
3.137 3.943 -0.540
Cd Zn La
3 1 1
Direct
0.500 0.000 0.000
0.000 0.000 0.500
0.000 0.500 0.000
0.000 0.000 0.000
0.500 0.500 0.500

***

<C>
LaZnCd3 (GGA-PBE, relaxed); symmetry = Cm (8); M_tot = 0.00 μB per formula unit
1.0
4.333 -0.002 0.000
0.000 4.635 -0.005
2.164 2.308 6.076
La Cd Zn
1 3 1
Direct
0.410 0.214 0.885
0.797 0.600 0.112
0.138 0.440 0.430
0.651 0.955 0.403
0.012 0.815 0.682

***

<D>
LaZnCd3 (GGA-PBE, relaxed); symmetry = Cm (8); M_tot = 0.00 μB per formula unit
1.0
-3.180 4.228 -1.397
-4.746 -1.403 2.334
-1.814 2.980 3.737
Zn Cd La
1 3 1
Direct
0.306 0.306 0.596
0.298 0.894 0.304
0.894 0.298 0.304
0.912 0.912 0.986
0.591 0.591 0.808

***

Of them, <A> has the lowest stability.

***

<A>
La6ZnCd2 (GGA-PBE, relaxed); symmetry = P-3m1 (164); M_tot = 0.00 μB per formula unit
1.0
-4.540 2.194 2.446
-0.555 -4.141 -3.736
0.750 -7.109 7.768
Cd La Zn
2 6 1
Direct
0.667 0.333 0.288
0.333 0.667 0.712
0.000 0.000 0.814
0.000 0.000 0.186
0.333 0.667 0.396
0.667 0.333 0.604
0.333 0.667 0.022
0.667 0.333 0.978
0.000 0.000 0.500

***

<B>
La6ZnCd2 (GGA-PBE, relaxed); symmetry = P2_1/c (14); M_tot = 0.00 μB per formula unit
1.0
6.533 0.000 0.760
0.000 8.840 0.000
0.279 0.000 10.131
Cd La Zn
4 12 2
Direct
0.117 0.602 0.226
0.383 0.102 0.274
0.617 0.898 0.726
0.883 0.398 0.774
0.396 0.785 0.442
0.859 0.941 0.227
0.896 0.715 0.942
0.630 0.157 0.965
0.359 0.559 0.727
0.104 0.285 0.058
0.130 0.343 0.465
0.604 0.215 0.558
0.641 0.441 0.273
0.141 0.059 0.773
0.370 0.843 0.035
0.870 0.657 0.535
0.500 0.500 0.000
0.000 0.000 0.500

***

Of them, <B> has the lowest stability.

***

<A>
La2ZnCd3 (GGA-PBE, relaxed); symmetry = Pmm2 (25); M_tot = 0.25 μB per formula unit
1.0
-1.248 0.316 3.295
-4.731 -0.290 -1.764
0.194 -8.657 0.904
Cd La Zn
3 2 1
Direct
0.500 0.000 0.832
0.500 0.500 0.661
0.500 0.000 0.171
0.000 0.000 0.492
0.000 0.500 0.009
0.500 0.500 0.335

***

<B>
La2ZnCd3 (GGA-PBE, relaxed); symmetry = Imm2 (44); M_tot = 0.00 μB per formula unit
1.0
-1.465 0.195 4.810
-0.814 -3.620 -0.101
9.272 -0.187 0.200
Cd La Zn
3 2 1
Direct
0.289 0.789 0.579
0.547 0.547 0.095
0.713 0.713 0.426
0.121 0.121 0.242
0.887 0.387 0.774
0.442 0.942 0.884

***

Of them, <B> has the lowest stability.

***

<A>
La8Zn2Cd (GGA-PBE, relaxed); symmetry = C2/m (12); M_tot = 0.00 μB per formula unit
1.0
5.145 0.000 0.000
0.000 7.922 -0.024
-2.573 -3.413 8.613
Zn La Cd
2 8 1
Direct
0.183 0.679 0.367
0.817 0.321 0.633
0.191 0.298 0.382
0.675 0.973 0.351
0.588 0.463 0.176
0.032 0.759 0.063
0.412 0.537 0.824
0.968 0.241 0.937
0.325 0.027 0.649
0.809 0.702 0.618
0.500 0.000 0.000

***

<B>
La8Zn2Cd (GGA-PBE, relaxed); symmetry = Immm (71); M_tot = 0.00 μB per formula unit
1.0
4.908 0.000 -1.494
-1.307 7.563 -4.296
0.104 0.100 9.150
La Zn Cd
8 2 1
Direct
0.000 0.331 0.000
0.342 0.123 0.684
0.658 0.439 0.316
0.854 0.854 0.708
0.658 0.877 0.316
0.342 0.561 0.684
0.000 0.669 0.000
0.146 0.146 0.292
0.197 0.697 0.395
0.803 0.303 0.605
0.500 0.000 0.000

***

Of them, <B> has the lowest stability.

***

<A>
La3Zn4Cd4 (GGA-PBE, relaxed); symmetry = Immm (71); M_tot = 0.14 μB per formula unit
1.0
-2.549 -3.489 -1.514
5.870 -2.459 -4.216
0.725 -1.288 8.672
Cd Zn La
4 4 3
Direct
0.668 0.862 0.337
0.332 0.138 0.663
0.332 0.525 0.663
0.668 0.475 0.337
0.221 0.721 0.442
0.500 0.174 0.000
0.779 0.279 0.558
0.500 0.826 0.000
0.126 0.126 0.253
0.000 0.500 0.000
0.874 0.874 0.747

***

<B>
La3Zn4Cd4 (GGA-PBE, relaxed); symmetry = Immm (71); M_tot = 0.00 μB per formula unit
1.0
-3.187 -0.430 2.142
-1.142 -3.883 -2.482
5.308 -10.397 9.302
Zn La Cd
4 3 4
Direct
0.687 0.187 0.626
0.455 0.454 0.091
0.545 0.546 0.909
0.313 0.813 0.374
0.144 0.644 0.712
0.856 0.356 0.288
0.000 0.000 0.000
0.593 0.094 0.813
0.257 0.258 0.485
0.407 0.906 0.187
0.743 0.742 0.514

***

Of them, <A> has the lowest stability.

***

<A>
LaZrCd3 (GGA-PBE, relaxed); symmetry = Pm-3m (221); M_tot = 0.00 μB per formula unit
1.0
-3.980 -2.309 -3.263
1.173 -5.077 2.161
-3.821 0.846 4.062
Zr Cd La
1 3 1
Direct
0.500 0.500 0.500
0.000 0.000 0.500
0.500 0.000 0.000
0.000 0.500 0.000
0.000 0.000 0.000

***

<B>
LaZrCd3 (GGA-PBE, relaxed); symmetry = Pm-3m (221); M_tot = 0.95 μB per formula unit
1.0
-2.178 -4.684 -1.695
4.205 -2.720 2.114
-2.669 -0.464 4.713
La Cd Zr
1 3 1
Direct
0.500 0.500 0.500
0.000 0.500 0.000
0.500 0.000 0.000
0.000 0.000 0.500
0.000 0.000 0.000

***

Of them, <A> has the lowest stability.